The following is a DFT calculation (SCAN) of TcIr2 at its PBEsol-relaxed geometry.

The relative energy among the computed polymorphs is 0.0 kJ per mole of atoms. As for the density: 19.2 g cm⁻³. Its volume is 41.8 Å³/f.u. Its formation energy is -0.87 eV per formula unit.

a b c (Å): 2.714 14.222 4.334
angles (deg): 90.00 90.00 90.00
Space group Cmcm (No. 63)
Inequivalent atoms, fractional coordinates:
Tc1 0.000 0.112 0.250 [4 per cell]
Ir1 0.000 0.224 0.750 [4 per cell]
Ir2 0.000 0.446 0.250 [4 per cell]

=====

The following is a DFT calculation (SCAN) of TcTe2Ir at its PBEsol-relaxed geometry.

The relative energy among the computed polymorphs is 48.3 kJ per mole of atoms. As for the density: 12.4 g cm⁻³. Its volume is 73.0 Å³/f.u. The uncorrected formation energy is 0.418 eV/atom.

a b c (Å): 8.297 3.265 5.526
angles (deg): 90.00 102.80 90.00
Space group C2/m (No. 12)
Inequivalent atoms, fractional coordinates:
Tc1 0.000 0.000 0.000 [2 per cell]
Te1 0.244 0.500 0.244 [4 per cell]
Ir1 0.000 0.500 0.500 [2 per cell]

=====

The following is a DFT calculation (SCAN) of TcTe2Ir at its PBEsol-relaxed geometry.

The relative energy among the computed polymorphs is 59.6 kJ per mole of atoms. As for the density: 11.4 g cm⁻³. Its volume is 79.1 Å³/f.u. The uncorrected formation energy is 0.535 eV/atom.

a b c (Å): 3.2191 3.2191 26.4466
angles (deg): 90.00 90.00 120.00
Space group R-3m (No. 166, hexagonal axes)
Inequivalent atoms, fractional coordinates:
Tc1 0.0000 0.0000 0.0000 [3 per cell]
Te1 0.0000 0.0000 0.4054 [6 per cell]
Ir1 0.0000 0.0000 0.5000 [3 per cell]

=====

The following is a DFT calculation (SCAN) of TcTe2Ir at its PBEsol-relaxed geometry.

The relative energy among the computed polymorphs is 0.0 kJ per mole of atoms. As for the density: 9.2 g cm⁻³. Its volume is 98.1 Å³/f.u. The uncorrected formation energy is -0.083 eV/atom.

a b c (Å): 4.047 4.047 5.989
angles (deg): 90.00 90.00 90.00
Space group P-4m2 (No. 115)
Inequivalent atoms, fractional coordinates:
Tc1 0.000 0.000 0.000 [1 per cell]
Te1 0.000 0.500 0.730 [2 per cell]
Ir1 0.500 0.500 0.000 [1 per cell]

=====

The following is a DFT calculation (SCAN) of TcTe2Ir at its PBEsol-relaxed geometry.

The relative energy among the computed polymorphs is 94.0 kJ per mole of atoms. As for the density: 12.2 g cm⁻³. Its volume is 74.3 Å³/f.u. The uncorrected formation energy is 0.891 eV/atom.

a b c (Å): 3.000 4.568 5.425
angles (deg): 90.00 90.12 90.00
Space group P2/m (No. 10)
Inequivalent atoms, fractional coordinates:
Tc1 0.000 0.000 0.000 [1 per cell]
Te1 0.237 0.500 0.748 [2 per cell]
Ir1 0.500 0.000 0.500 [1 per cell]

=====

The following is a DFT calculation (SCAN) of Ti2TcIr at its PBEsol-relaxed geometry.

As for the density: 11.2 g cm⁻³. Its volume is 57.5 Å³/f.u. Its formation energy is -4.20 eV per formula unit.

a b c (Å): 6.126 6.126 6.126
angles (deg): 90.00 90.00 90.00
Space group Fm-3m (No. 225)
Inequivalent atoms, fractional coordinates:
Ti1 0.250 0.250 0.250 [8 per cell]
Tc1 0.000 0.000 0.000 [4 per cell]
Ir1 0.000 0.000 0.500 [4 per cell]

=====

The following is a DFT calculation (SCAN) of Ti3TcIr at its PBEsol-relaxed geometry.

As for the density: 7.9 g cm⁻³. Its volume is 91.4 Å³/f.u. Its formation energy is 3.18 eV per formula unit.

a b c (Å): 4.504 4.504 4.504
angles (deg): 90.00 90.00 90.00
Space group Pm-3m (No. 221)
Inequivalent atoms, fractional coordinates:
Ti1 0.000 0.000 0.500 [3 per cell]
Tc1 0.000 0.000 0.000 [1 per cell]
Ir1 0.500 0.500 0.500 [1 per cell]

=====

The following is a DFT calculation (SCAN) of TiTc3Ir at its PBEsol-relaxed geometry.

As for the density: 9.1 g cm⁻³. Its volume is 97.3 Å³/f.u. Its formation energy is 7.39 eV per formula unit.

a b c (Å): 4.600 4.600 4.600
angles (deg): 90.00 90.00 90.00
Space group Pm-3m (No. 221)
Inequivalent atoms, fractional coordinates:
Ti1 0.000 0.000 0.000 [1 per cell]
Tc1 0.000 0.500 0.500 [3 per cell]
Ir1 0.500 0.500 0.500 [1 per cell]

=====

The following is a DFT calculation (SCAN) of TlTcIr2 at its PBEsol-relaxed geometry.

The relative energy among the computed polymorphs is 0.0 kJ per mole of atoms. As for the density: 18.1 g cm⁻³. Its volume is 63.0 Å³/f.u. Its formation energy is 1.92 eV per formula unit.

a b c (Å): 2.8305 2.8305 27.2601
angles (deg): 90.00 90.00 120.00
Space group R3m (No. 160, hexagonal axes)
Inequivalent atoms, fractional coordinates:
Tl1 0.0000 0.0000 0.0000 [3 per cell]
Tc1 0.0000 0.0000 0.7563 [3 per cell]
Ir1 0.0000 0.0000 0.2455 [3 per cell]
Ir2 0.0000 0.0000 0.4978 [3 per cell]

=====

The following is a DFT calculation (SCAN) of TlTcIr3 at its PBEsol-relaxed geometry.

As for the density: 14.2 g cm⁻³. Its volume is 102.8 Å³/f.u. Its formation energy is 8.12 eV per formula unit.

a b c (Å): 4.684 4.684 4.684
angles (deg): 90.00 90.00 90.00
Space group Pm-3m (No. 221)
Inequivalent atoms, fractional coordinates:
Tl1 0.000 0.000 0.000 [1 per cell]
Tc1 0.500 0.500 0.500 [1 per cell]
Ir1 0.000 0.500 0.500 [3 per cell]

=====

The following is a DFT calculation (SCAN) of TlTc2Ir at its PBEsol-relaxed geometry.

The relative energy among the computed polymorphs is 0.0 kJ per mole of atoms. As for the density: 15.7 g cm⁻³. Its volume is 62.6 Å³/f.u. Its formation energy is 2.52 eV per formula unit.

a b c (Å): 5.250 8.426 2.828
angles (deg): 90.00 90.00 90.00
Space group Cmmm (No. 65)
Inequivalent atoms, fractional coordinates:
Tl1 0.000 0.000 0.000 [2 per cell]
Tc1 0.250 0.250 0.500 [4 per cell]
Ir1 0.000 0.500 0.000 [2 per cell]

=====

The following is a DFT calculation (SCAN) of Tl2TcIr at its PBEsol-relaxed geometry.

The relative energy among the computed polymorphs is 3.3 kJ per mole of atoms. As for the density: 16.0 g cm⁻³. Its volume is 72.4 Å³/f.u. Its formation energy is 3.38 eV per formula unit.

a b c (Å): 3.081 5.155 9.123
angles (deg): 90.00 90.00 90.00
Space group Cmmm (No. 65)
Inequivalent atoms, fractional coordinates:
Tl1 0.000 0.000 0.249 [4 per cell]
Tc1 0.000 0.500 0.500 [2 per cell]
Ir1 0.000 0.500 0.000 [2 per cell]